Entry 1:
## Pm3HoRu (PBE)

Data for a relaxed structure of Pm3HoRu.

Structure (POSCAR):
```
Pm3HoRu
1.0
-4.7255 3.7604 4.3659
4.7255 -3.7604 4.3659
4.7255 3.7604 -4.3659
Pm Ho Ru
6 2 2
Cartesian
2.3627 -0.1492 2.2108
0.3757 1.8607 0.0000
4.3498 1.8607 0.0000
2.3627 3.9096 -2.1552
0.3757 1.8997 4.3659
4.3498 1.8997 4.3659
2.3627 -0.2032 6.5203
2.3627 3.9637 2.1543
7.0882 1.8251 0.0006
-2.3627 1.9354 4.3665
```

## Properties
The relative energy among the computed polymorphs is 0.000 kcal/mol of atoms. As for the formation enthalpy at 0 K: -0.13 eV/atom. For the density of states at the Fermi level, the calculation gives 11.66 states/eV/cell.

***

Entry 2:
## Np2Si3NiIr4 (PBE)

Data for a relaxed structure of Np2Si3NiIr4.

Structure (POSCAR):
```
Np2Si3NiIr4
1.0
4.0482 0.0000 0.0000
0.0000 4.0482 0.0000
0.0000 0.0000 10.2288
Np Si Ni Ir
2 3 1 4
Cartesian
0.0000 2.0241 2.4572
2.0241 0.0000 7.7716
0.0000 0.0000 0.0000
0.0000 2.0241 6.4214
2.0241 0.0000 3.8074
2.0241 2.0241 0.0000
0.0000 0.0000 5.1144
0.0000 2.0241 8.7872
2.0241 0.0000 1.4416
2.0241 2.0241 5.1144
```

## Properties
For the formation energy without anion corrections, the calculation gives -59.88 kJ/mol of atoms. For the density of states at the Fermi level, the calculation gives 22.37 states/eV/cell.